DFT (PBE-GGA) results for a relaxed structure of MoP3.

```
MoP3
1.0
3.7942 2.1906 1.1978
-3.7942 2.1906 1.1978
0.0000 -4.3811 1.1978
Mo P
1 3
Direct
0.0000 0.0000 0.0000
0.0000 0.5000 0.5000
0.5000 0.0000 0.5000
0.5000 0.5000 0.0000
```

Energy relative to the lowest polymorph listed for this composition   484 meV/atom
E_form   0.24 eV/atom
Magnetic moment   0.00 μB per formula unit